# TbTh4Tl5 (PBE, relaxed)
# **Total magnetization**: 0.00 μB per formula unit
# **Calculated volume**: 28.86 A^3/atom
# **E_form**: -183 meV/atom
data_TbTh4Tl5
_chemical_formula_sum 'Tb1 Th4 Tl5'
_symmetry_space_group_name_H-M 'P 4/m m m'
_symmetry_Int_Tables_number 123
_symmetry_space_group_name_Hall '-P 4 2'
_cell_length_a 3.555
_cell_length_b 3.555
_cell_length_c 22.830
_cell_angle_alpha 90.00
_cell_angle_beta 90.00
_cell_angle_gamma 90.00
loop_
_atom_site_label
_atom_site_type_symbol
_atom_site_fract_x
_atom_site_fract_y
_atom_site_fract_z
Tb1 Tb 0.000 0.000 0.000
Th1 Th 0.000 0.000 0.196
Th2 Th 0.000 0.000 0.398
Tl1 Tl 0.500 0.500 0.094
Tl2 Tl 0.500 0.500 0.297
Tl3 Tl 0.500 0.500 0.500